! PBE-GGA SrUSb2O8, relaxed; values from VASP
! Crystal system ... trigonal
! E_tot ... -84.450 eV per cell
! Calculated volume ... 227 Å³/cell
! Symmetry ... No. 164
! Density of states at the Fermi level ... 4.231 states/eV per cell
! ΔE_f (raw) ... -23.57 eV/f.u.
&SYSTEM
  ibrav = 0, nat = 12, ntyp = 4
/
ATOMIC_SPECIES
Sr 87.62 Sr.upf
U 238.03 U.upf
Sb 121.76 Sb.upf
O 16.00 O.upf
ATOMIC_POSITIONS crystal
Sr 0.000 0.000 0.500
U 0.000 0.000 0.000
Sb 0.667 0.333 0.289
Sb 0.333 0.667 0.711
O 0.844 0.156 0.198
O 0.844 0.687 0.198
O 0.313 0.156 0.198
O 0.687 0.844 0.802
O 0.333 0.667 0.451
O 0.667 0.333 0.549
O 0.156 0.844 0.802
O 0.156 0.313 0.802
CELL_PARAMETERS angstrom
-2.855 1.830 4.997
3.322 -5.043 0.095
5.778 3.842 1.895


! PBE-GGA SrUSbO5, relaxed; values from VASP
! Crystal system ... monoclinic
! E_tot ... -125.066 eV per cell
! Calculated volume ... 274 Å³/cell
! Symmetry ... No. 15
! Density of states at the Fermi level ... 4.525 states/eV per cell
! ΔE_f (raw) ... -20.65 eV/f.u.
&SYSTEM
  ibrav = 0, nat = 16, ntyp = 4
/
ATOMIC_SPECIES
Sr 87.62 Sr.upf
U 238.03 U.upf
Sb 121.76 Sb.upf
O 16.00 O.upf
ATOMIC_POSITIONS crystal
Sr 0.346 0.654 0.250
Sr 0.654 0.346 0.750
U 0.000 0.000 0.500
U 0.000 0.000 0.000
Sb 0.696 0.304 0.250
Sb 0.304 0.696 0.750
O 0.966 0.034 0.250
O 0.034 0.966 0.750
O 0.925 0.280 0.032
O 0.075 0.720 0.968
O 0.720 0.075 0.468
O 0.280 0.925 0.532
O 0.711 0.602 0.246
O 0.289 0.398 0.754
O 0.398 0.289 0.254
O 0.602 0.711 0.746
CELL_PARAMETERS angstrom
6.803 0.344 -0.630
-1.657 6.607 -0.630
-2.970 -4.012 6.745


! PBE-GGA SrUSbO2, relaxed; values from VASP
! Crystal system ... tetragonal
! E_tot ... -38.553 eV per cell
! Calculated volume ... 104 Å³/cell
! Symmetry ... No. 107
! Density of states at the Fermi level ... 4.974 states/eV per cell
! ΔE_f (raw) ... -11.54 eV/f.u.
&SYSTEM
  ibrav = 0, nat = 5, ntyp = 4
/
ATOMIC_SPECIES
Sr 87.62 Sr.upf
U 238.03 U.upf
Sb 121.76 Sb.upf
O 16.00 O.upf
ATOMIC_POSITIONS crystal
Sr 0.852 0.852 0.704
U 0.163 0.163 0.326
Sb 0.514 0.514 0.028
O 0.736 0.236 0.472
O 0.236 0.736 0.472
CELL_PARAMETERS angstrom
3.908 0.000 0.000
0.000 3.908 0.000
-1.954 -1.954 6.801


! PBE-GGA Sr2USbO8, relaxed; values from VASP
! Crystal system ... orthorhombic
! E_tot ... -86.815 eV per cell
! Calculated volume ... 196 Å³/cell
! Symmetry ... No. 65
! Density of states at the Fermi level ... 5.095 states/eV per cell
! ΔE_f (raw) ... -28.37 eV/f.u.
&SYSTEM
  ibrav = 0, nat = 12, ntyp = 4
/
ATOMIC_SPECIES
Sr 87.62 Sr.upf
U 238.03 U.upf
Sb 121.76 Sb.upf
O 16.00 O.upf
ATOMIC_POSITIONS crystal
Sr 0.500 0.500 0.758
Sr 0.500 0.500 0.242
U 0.000 0.000 0.500
Sb 0.000 0.000 0.000
O 0.169 0.830 0.238
O 0.738 0.739 0.000
O 0.831 0.170 0.238
O 0.831 0.170 0.762
O 0.262 0.261 0.000
O 0.169 0.830 0.762
O 0.737 0.738 0.500
O 0.263 0.262 0.500
CELL_PARAMETERS angstrom
-2.872 2.646 -3.649
-1.702 -4.758 -1.742
-5.290 0.291 4.374


| no. | total magnetic moment (Bohr magnetons per cell) |
| --- | --- |
| 1 | 1.93 |
| 2 | 0.53 |
| 3 | 1.58 |
| 4 | 1.05 |